Model P:
PrHo2In3 | PBE-GGA | relaxed

extended XYZ file:
```
6
Lattice="3.772 0.000 0.000 0.000 3.772 0.000 0.000 0.000 11.551" Properties=species:S:1:pos:R:3 pbc="T T T"
Pr 0.000 0.000 0.000
Ho 0.000 0.000 3.925
Ho 0.000 0.000 7.626
In 1.886 1.886 2.085
In 1.886 1.886 5.776
In 1.886 1.886 9.467
```

Properties
Size of the total moment = 0.00 μB per formula unit
Density of states at the Fermi level = 0.559 states/eV per atom

Model Q:
PrHo2In3 | PBE-GGA | relaxed

extended XYZ file:
```
12
Lattice="-5.202 5.482 3.147 5.202 -5.482 3.147 5.202 5.482 -3.147" Properties=species:S:1:pos:R:3 pbc="T T T"
Pr 0.000 2.741 1.570
Pr 5.202 2.741 1.578
Ho 5.202 4.561 -1.572
Ho 5.202 -0.921 1.572
Ho 0.000 6.403 1.575
Ho 0.000 0.921 4.719
In 2.601 2.741 -1.574
In 2.600 0.000 0.000
In 2.601 -2.741 1.574
In 7.805 0.000 0.000
In 2.600 5.482 0.000
In 2.602 0.000 3.147
```

Properties
Size of the total moment = 0.00 μB per formula unit
Density of states at the Fermi level = 0.745 states/eV per atom

What should be chosen as the least stable of them? Choose model Q.

Model P:
Pr12Ho6In | PBE-GGA | relaxed

extended XYZ file:
```
19
Lattice="6.063 3.501 5.144 -6.063 3.501 5.144 0.000 -7.002 5.144" Properties=species:S:1:pos:R:3 pbc="T T T"
Pr -1.512 -5.386 6.456
Pr -5.421 -1.383 8.975
Pr -1.127 -1.778 4.834
Pr -3.908 4.003 6.456
Pr -0.977 1.865 4.834
Pr 2.104 -0.087 4.834
Pr -2.104 0.087 10.597
Pr 0.977 -1.865 10.597
Pr 3.908 -4.003 8.975
Pr 1.127 1.778 10.597
Pr 5.421 1.383 6.456
Pr 1.512 5.386 8.975
Ho -2.320 -2.420 8.096
Ho -3.256 0.799 7.335
Ho 0.936 -3.219 7.335
Ho -0.936 3.219 8.096
Ho 3.256 -0.799 8.096
Ho 2.320 2.420 7.335
In 0.000 0.000 7.716
```

Properties
Size of the total moment = 0.00 μB per formula unit
Density of states at the Fermi level = 1.617 states/eV per atom

Model Q:
Pr12Ho6In | PBE-GGA | relaxed

extended XYZ file:
```
19
Lattice="6.648 3.838 4.296 -6.648 3.838 4.296 0.000 -7.677 4.296" Properties=species:S:1:pos:R:3 pbc="T T T"
Pr -4.920 0.860 4.300
Pr -2.714 -1.571 5.719
Pr 1.715 -4.691 4.300
Pr -3.205 -3.831 8.589
Pr 0.003 -3.136 7.170
Pr -2.717 1.565 7.170
Pr 2.717 -1.565 5.719
Pr -0.003 3.136 5.719
Pr 3.205 3.831 4.300
Pr -1.715 4.691 8.589
Pr 2.714 1.571 7.170
Pr 4.920 -0.860 8.589
Ho -0.008 -2.050 2.915
Ho -1.771 1.032 2.915
Ho 1.779 1.017 2.915
Ho -1.779 -1.017 9.973
Ho 1.771 -1.032 9.973
Ho 0.008 2.050 9.973
In 0.000 0.000 0.000
```

Properties
Size of the total moment = 0.00 μB per formula unit
Density of states at the Fermi level = 1.382 states/eV per atom

What should be chosen as the least stable of them? Choose model Q.

Model P:
Pr2HoIn2 | PBE-GGA | relaxed

extended XYZ file:
```
5
Lattice="-2.520 3.542 4.289 2.520 -3.542 4.289 2.520 3.542 -4.289" Properties=species:S:1:pos:R:3 pbc="T T T"
Pr 0.000 0.000 1.661
Pr 0.000 0.000 6.917
Ho 0.000 3.542 0.000
In 2.520 1.506 0.000
In 0.000 2.037 4.289
```

Properties
Size of the total moment = 0.00 μB per formula unit
Density of states at the Fermi level = 0.951 states/eV per atom

Model Q:
Pr2HoIn2 | PBE-GGA | relaxed

extended XYZ file:
```
10
Lattice="3.828 0.000 0.000 0.000 5.439 0.000 -1.917 0.000 14.323" Properties=species:S:1:pos:R:3 pbc="T T T"
Pr 0.000 1.360 1.320
Pr 0.000 1.360 6.776
Pr 1.911 4.079 7.547
Pr 1.911 4.079 13.002
Ho -0.002 4.079 4.243
Ho 1.913 1.360 10.079
In -0.002 4.079 10.241
In -0.003 1.360 12.768
In 1.914 4.079 1.554
In 1.913 1.360 4.082
```

Properties
Size of the total moment = 0.00 μB per formula unit
Density of states at the Fermi level = 0.861 states/eV per atom

What should be chosen as the least stable of them? Choose model Q.

Model P:
PrHoIn | PBE-GGA | relaxed

extended XYZ file:
```
6
Lattice="4.624 -4.923 0.000 4.624 4.923 0.000 0.000 0.000 5.168" Properties=species:S:1:pos:R:3 pbc="T T T"
Pr 4.624 3.109 0.000
Pr 4.624 -3.109 0.000
Ho 2.961 0.000 2.584
Ho 6.287 0.000 2.584
In 0.000 0.000 2.584
In 4.624 0.000 0.000
```

Properties
Size of the total moment = 1.00 μB per formula unit
Density of states at the Fermi level = 1.510 states/eV per atom

Model Q:
PrHoIn | PBE-GGA | relaxed

extended XYZ file:
```
6
Lattice="5.496 0.000 0.000 -2.748 4.760 0.000 0.000 0.000 6.819" Properties=species:S:1:pos:R:3 pbc="T T T"
Pr 0.000 0.000 0.000
Pr 0.000 0.000 3.410
Ho 0.000 3.173 1.705
Ho 2.748 1.587 5.114
In 0.000 3.173 5.114
In 2.748 1.587 1.705
```

Properties
Size of the total moment = 0.00 μB per formula unit
Density of states at the Fermi level = 1.111 states/eV per atom

What should be chosen as the least stable of them? Choose model P.